DFT (PBEsol) results for an optimized crystal structure of Y3Mg.

a b c (Å): 3.4939 3.4939 11.1484
angles (deg): 90.00 90.00 120.00
Closest atoms and distances in Å follow each position.
Positions (direct):
Y: 0.0000 0.0000 0.5000  12 Y 3.47-3.49
Y: 0.3333 0.6667 0.7534  3 Mg 3.41, 9 Y 3.47-3.49
Y: 0.3333 0.6667 0.2466  3 Mg 3.41, 9 Y 3.47-3.49
Mg: 0.0000 0.0000 0.0000  6 Y 3.41, 6 Mg 3.49

Properties
The calculation puts the density of states at the Fermi level at 5.739 states/eV/cell. The value obtained for the energy of formation is 42.3 meV per atom. As for the calculated total energy: -0.405 Ry per atom.